# 1
Compound: ZrFeOs2
Source: Alexandria via LeMat-Bulk
Functional: PBE-GGA
Structure: optimized geometry

Computed properties:
* formation energy from the elements: 0.95 eV per formula unit
* total moment: 2.5 Bohr magnetons per cell
* uncorrected energy: -38.5 eV/cell
* distance to the lowest polymorph of the same formula: 0.243 eV per atom
* crystal system: trigonal
* symmetry: No. 166

Cell and atoms, written as POSCAR:
```
ZrFeOs2
1.0
9.3576 -0.0053 -0.0031
8.9481 2.7382 -0.0031
8.9481 1.3359 2.3902
Fe Os Zr
1 2 1
direct
0.7500 0.7500 0.7500
0.4907 0.4907 0.4907
0.0093 0.0093 0.0093
0.2500 0.2500 0.2500
```



# 2
Compound: Ac2LaSm2
Source: Alexandria via LeMat-Bulk
Functional: PBE-GGA
Structure: optimized geometry

Computed properties:
* formation energy from the elements: 0.38 eV per formula unit
* total moment: 0.0 Bohr magnetons per cell
* uncorrected energy: -44.4 eV/cell
* distance to the lowest polymorph of the same formula: 0.000 eV per atom
* crystal system: monoclinic
* symmetry: No. 15

Cell and atoms, written as POSCAR:
```
Ac2LaSm2
1.0
-3.8170 3.5197 4.4631
5.8306 3.8503 7.2017
4.3780 8.2519 2.4881
Sm La Ac
4 2 4
direct
0.9691 0.3405 0.4824
0.2079 0.8405 0.9824
0.7921 0.1595 0.0176
0.0309 0.6595 0.5176
0.4189 0.2500 0.7500
0.5811 0.7500 0.2500
0.8411 0.8037 0.8097
0.1589 0.1963 0.1903
0.5455 0.3037 0.3097
0.4545 0.6963 0.6903
```